# 1
Sr4ZrZn at its PBEsol-relaxed geometry, computed with meta-GGA SCAN.

a = 9.701 Å, b = 9.701 Å, c = 9.701 Å
α = 90.00°, β = 90.00°, γ = 90.00°
Space group F-43m (No. 216)
Unique sites:
Sr 0.124 0.124 0.124 x16
Zr 0.250 0.250 0.750 x4
Zn 0.000 0.000 0.500 x4

As for the density of states at the Fermi level: 1.40 states/eV per atom. The energy of formation is 0.85 eV/atom. The calculation puts the volume at 38.0 Å³ per atom. The value obtained for the magnetic moment is 5.4 μB per formula unit.

# 2
LiCuCSO7 at its PBEsol-relaxed geometry, computed with meta-GGA SCAN.

a = 4.790 Å, b = 7.067 Å, c = 8.026 Å
α = 90.00°, β = 93.19°, γ = 90.00°
Space group P2_1 (No. 4)
Unique sites:
Li 0.237 0.000 0.248 x2
Cu 0.215 0.235 0.848 x2
C 0.294 0.220 0.567 x2
S 0.270 0.744 0.901 x2
O 0.049 0.235 0.632 x2
O 0.140 0.776 0.066 x2
O 0.155 0.574 0.819 x2
O 0.242 0.912 0.799 x2
O 0.336 0.181 0.422 x2
O 0.421 0.202 0.053 x2
O 0.487 0.246 0.689 x2

The formation energy from raw total energies is -1.400 eV/atom. The calculation puts the volume at 12.3 Å³ per atom. The value obtained for the magnetic moment is 0.0 μB per formula unit.

# 3
AlCoNi6 at its PBEsol-relaxed geometry, computed with meta-GGA SCAN.

a = 3.486 Å, b = 3.486 Å, c = 6.996 Å
α = 90.00°, β = 90.00°, γ = 90.00°
Space group P4/mmm (No. 123)
Unique sites:
Al 0.000 0.000 0.000 x1
Co 0.000 0.000 0.500 x1
Ni 0.000 0.500 0.257 x4
Ni 0.500 0.500 0.000 x1
Ni 0.500 0.500 0.500 x1

As for the density of states at the Fermi level: 0.65 states/eV per atom. The energy of formation is -0.24 eV/atom. The calculation puts the volume at 10.6 Å³ per atom. The value obtained for the magnetic moment is 5.5 μB per formula unit. The calculation puts the polymorph energy (0 for the lowest one) at 0.000 eV per atom.

# 4
MgSc2Co at its PBEsol-relaxed geometry, computed with meta-GGA SCAN.

a = 6.506 Å, b = 6.506 Å, c = 6.506 Å
α = 90.00°, β = 90.00°, γ = 90.00°
Space group F-43m (No. 216)
Unique sites:
Mg 0.000 0.000 0.000 x4
Sc 0.000 0.000 0.500 x4
Sc 0.250 0.250 0.750 x4
Co 0.250 0.250 0.250 x4

As for the density of states at the Fermi level: 0.84 states/eV per atom. The energy of formation is 0.15 eV/atom. The calculation puts the volume at 17.2 Å³ per atom. The value obtained for the magnetic moment is 0.0 μB per formula unit.